{"formula": "AlSb", "functional": "PBE", "state": "optimized geometry", "lattice": [[1.754, 5.826, -0.075], [-1.754, 5.826, -0.075], [0.000, 1.972, 7.019]], "species": ["Al", "Al", "Sb", "Sb", "Al", "Sb"], "frac_coords": [[0.656, 0.656, 0.305], [0.725, 0.725, 0.633], [0.984, 0.984, 0.555], [0.927, 0.927, 0.024], [0.357, 0.357, 0.351], [0.184, 0.184, 0.965]], "m_tot_mub_per_cell": 0.0, "volume_a3_per_cell": 144.0, "e_form_raw_ev_per_atom": 0.17}

---

{"formula": "LaTb2Sn", "functional": "PBE", "state": "optimized geometry", "lattice": [[-3.034, 1.341, 1.440], [-0.945, -0.887, 3.376], [4.359, 8.847, 5.481]], "species": ["Tb", "Tb", "Sn", "La"], "frac_coords": [[0.076, 0.076, 0.772], [0.258, 0.258, 0.227], [0.667, 0.667, 0.000], [0.500, 0.500, 0.500]], "formation_energy_kj_per_mol_atoms": -19.9, "m_tot_mub_per_cell": 0.0, "volume_a3_per_cell": 125.6}